An optimized crystal structure of La2PdI. Source: Alexandria via LeMat-Bulk, functional PBE.

Lattice parameters (Å, degrees): 4.306 4.306 8.658 75.60 75.60 60.00
Positions (direct):
I  0.499  0.499  0.502
La  0.269  0.269  0.192
Pd  0.667  0.667  0.999
La  0.064  0.064  0.808

Values from the calculation:
Formation energy from raw total energies: -0.944 eV/atom
Theoretical density: 6.375 Mg/m³
Total magnetic moment: 0.00 μB per atom
V: 33.29 Å³/atom
Energy relative to the lowest polymorph listed for this composition: 0.12 kcal/mol of atoms

An optimized crystal structure of La2PdI. Source: Alexandria via LeMat-Bulk, functional PBE.

Lattice parameters (Å, degrees): 8.162 8.162 6.989 54.28 54.28 90.00
Positions (direct):
La  0.165  0.625  0.250
Pd  0.250  0.750  0.500
I  0.000  0.000  0.000
I  0.750  0.250  0.500
Pd  0.500  0.500  0.000
La  0.585  0.125  0.250
La  0.375  0.415  0.750
La  0.875  0.835  0.750

Values from the calculation:
Formation energy from raw total energies: -0.646 eV/atom
Theoretical density: 6.463 Mg/m³
Total magnetic moment: 0.00 μB per atom
V: 32.83 Å³/atom
Energy relative to the lowest polymorph listed for this composition: 6.99 kcal/mol of atoms

An optimized crystal structure of LaPd2I. Source: Alexandria via LeMat-Bulk, functional PBE.

Lattice parameters (Å, degrees): 5.081 5.081 5.081 60.00 60.00 60.00
Positions (direct):
I  0.000  0.000  0.000
Pd  0.250  0.250  0.250
La  0.500  0.500  0.500
Pd  0.750  0.750  0.750

Values from the calculation:
Formation energy from raw total energies: -0.425 eV/atom
Theoretical density: 8.568 Mg/m³
Total magnetic moment: 0.00 μB per atom
V: 23.19 Å³/atom
Energy relative to the lowest polymorph listed for this composition: 0.44 kcal/mol of atoms

An optimized crystal structure of LaPmPdI. Source: Alexandria via LeMat-Bulk, functional PBE.

Lattice parameters (Å, degrees): 4.251 4.251 8.560 90.00 104.38 120.00
Positions (direct):
Pm  0.098  0.947  0.060
Pd  0.306  0.551  0.872
La  0.509  0.152  0.676
I  0.965  0.380  0.361

Values from the calculation:
Formation energy from raw total energies: -0.904 eV/atom
Theoretical density: 6.691 Mg/m³
Total magnetic moment: 0.00 μB per atom
V: 32.09 Å³/atom

> V of number 3 (LaPd2I)?

23.19 Å³/atom